K3Tl4Cd4 | PBE | optimized geometry

a b c (Å): 5.171 8.350 9.812
angles (deg): 115.18 105.28 90.00
Fractional positions:
Tl: 0.670 0.475 0.340
K: 0.000 0.500 0.000
Cd: 0.783 0.283 0.566
K: 0.870 0.870 0.740
Cd: 0.217 0.717 0.434
Tl: 0.330 0.135 0.660
Tl: 0.670 0.865 0.340
K: 0.130 0.130 0.260
Cd: 0.500 0.178 0.000
Tl: 0.330 0.525 0.660
Cd: 0.500 0.822 0.000

Properties
D(E_F) ... 4.64 states/eV/cell
E_form ... -0.0725 eV/atom

=====

PrThSb | PBE | optimized geometry

a b c (Å): 4.004 5.668 21.223
angles (deg): 74.44 112.15 45.03
Fractional positions:
Pr: 0.215 0.170 0.943
Th: 0.356 0.409 0.633
Sb: 0.356 0.575 0.467
Th: 0.356 0.909 0.133
Pr: 0.498 0.647 0.324
Sb: 0.357 0.242 0.800

Properties
D(E_F) ... 4.44 states/eV/cell
E_form (uncorrected) ... -1.8 eV per formula unit

=====

LiNdSbRh | PBE | optimized geometry

a b c (Å): 4.796 4.796 4.796
angles (deg): 60.00 60.00 60.00
Fractional positions:
Sb: 0.000 0.000 0.000
Rh: 0.250 0.250 0.250
Nd: 0.500 0.500 0.500
Li: 0.750 0.750 0.750

Properties
E_form (uncorrected) ... -3.2 eV per formula unit

=====

Nd3AuO6 | PBE | optimized geometry

a b c (Å): 5.727 7.477 7.477
angles (deg): 100.99 90.00 90.00
Fractional positions:
O: 0.177 0.107 0.596
O: 0.273 0.031 0.969
O: 0.157 0.783 0.217
Nd: 0.967 0.093 0.330
O: 0.695 0.641 0.671
Nd: 0.913 0.604 0.396
Nd: 0.467 0.330 0.093
O: 0.195 0.359 0.329
O: 0.677 0.596 0.107
O: 0.677 0.893 0.404
O: 0.195 0.671 0.641
Nd: 0.467 0.907 0.670
Au: 0.964 0.131 0.869
O: 0.695 0.329 0.359
Au: 0.464 0.869 0.131
O: 0.177 0.404 0.893
Nd: 0.413 0.396 0.604
O: 0.657 0.217 0.783
O: 0.773 0.969 0.031
Nd: 0.967 0.670 0.907

Properties
D(E_F) ... 10.56 states/eV/cell
E_form (uncorrected) ... -24.5 eV per formula unit

=====

SrLiPmSb | PBE | optimized geometry

a b c (Å): 5.477 5.477 5.477
angles (deg): 60.00 60.00 60.00
Fractional positions:
Pm: 0.750 0.750 0.750
Sr: 0.250 0.250 0.250
Li: 0.000 0.000 0.000
Sb: 0.500 0.500 0.500

Properties
D(E_F) ... 3.29 states/eV/cell
E_form (uncorrected) ... -1.7 eV per formula unit

=====

Pr2PuBiN2 | PBE | optimized geometry

a b c (Å): 4.412 4.412 6.845
angles (deg): 90.00 90.00 90.00
Fractional positions:
Bi: 0.000 0.000 0.500
Pr: 0.500 0.500 0.764
Pu: 0.000 0.000 0.000
N: 0.000 0.500 0.000
N: 0.500 0.000 0.000
Pr: 0.500 0.500 0.236

Properties
D(E_F) ... 6.01 states/eV/cell
E_form (uncorrected) ... -6.2 eV per formula unit

=====

PrTc2P2 | PBE | optimized geometry

a b c (Å): 4.188 4.188 5.794
angles (deg): 111.18 111.18 90.00
Fractional positions:
P: 0.640 0.640 0.280
Tc: 0.250 0.750 0.500
P: 0.360 0.360 0.720
Tc: 0.750 0.250 0.500
Pr: 0.000 0.000 0.000

Properties
D(E_F) ... 3.32 states/eV/cell
E_form ... -0.8891 eV/atom

=====

YLu2Bi | PBE | optimized geometry

a b c (Å): 3.985 3.985 7.360
angles (deg): 90.00 90.00 90.00
Fractional positions:
Bi: 0.500 0.500 0.000
Lu: 0.000 0.000 0.767
Lu: 0.000 0.000 0.233
Y: 0.500 0.500 0.500

Properties
D(E_F) ... 4.51 states/eV/cell
E_form ... -0.3033 eV/atom

=====

ScH2I2 | PBE | optimized geometry

a b c (Å): 7.924 6.293 8.072
angles (deg): 81.04 75.68 50.98
Fractional positions:
Sc: 0.170 0.660 0.000
H: 0.123 0.000 0.925
H: 0.086 0.000 0.074
I: 0.564 0.497 0.747
H: 0.877 0.000 0.075
H: 0.914 0.000 0.926
I: 0.939 0.497 0.253
I: 0.436 0.503 0.253
I: 0.061 0.503 0.747
Sc: 0.830 0.340 0.000

Properties
D(E_F) ... 0.00 states/eV/cell
Uncorrected energy ... -3.851 eV/atom

=====

Ca6Sb2PO | PBE | optimized geometry

a b c (Å): 5.200 5.200 10.046
angles (deg): 90.00 90.00 90.00
Fractional positions:
P: 0.500 0.500 0.000
Ca: 0.500 0.000 0.000
Ca: 0.000 0.500 0.500
Ca: 0.500 0.000 0.500
Sb: 0.000 0.000 0.269
Ca: 0.500 0.500 0.728
Ca: 0.500 0.500 0.272
Sb: 0.000 0.000 0.731
Ca: 0.000 0.500 0.000
O: 0.500 0.500 0.500

Properties
D(E_F) ... 3.61 states/eV/cell
E_form (uncorrected) ... -12.7 eV per formula unit

=====

Ba3AlAu | PBE | optimized geometry

a b c (Å): 6.286 6.286 6.286
angles (deg): 90.00 90.00 90.00
Fractional positions:
Au: 0.000 0.000 0.000
Ba: 0.000 0.500 0.000
Al: 0.500 0.500 0.500
Ba: 0.000 0.000 0.500
Ba: 0.500 0.000 0.000

Properties
D(E_F) ... 5.62 states/eV/cell
E_form ... -0.0488 eV/atom

=====

AgTe2Os | PBE | optimized geometry

a b c (Å): 4.211 4.286 6.184
angles (deg): 90.54 90.00 90.00
Fractional positions:
Te: 0.500 0.248 0.470
Te: 0.000 0.760 0.937
Ag: 0.000 0.740 0.388
Os: 0.500 0.752 0.705

Properties
D(E_F) ... 2.97 states/eV/cell
E_form (uncorrected) ... 1.4 eV per formula unit

=====

BaTbMg17 | PBE | optimized geometry

a b c (Å): 7.904 7.904 7.904
angles (deg): 82.47 82.47 82.47
Fractional positions:
Mg: 0.346 0.346 0.854
Mg: 0.297 0.004 0.699
Mg: 0.502 0.998 0.998
Mg: 0.102 0.102 0.102
Mg: 0.297 0.699 0.004
Mg: 0.699 0.297 0.004
Mg: 0.168 0.644 0.644
Mg: 0.004 0.297 0.699
Ba: 0.664 0.664 0.664
Mg: 0.644 0.168 0.644
Mg: 0.004 0.699 0.297
Mg: 0.998 0.502 0.998
Tb: 0.328 0.328 0.328
Mg: 0.998 0.998 0.502
Mg: 0.644 0.644 0.168
Mg: 0.346 0.854 0.346
Mg: 0.854 0.346 0.346
Mg: 0.699 0.004 0.297
Mg: 0.905 0.905 0.905

Properties
D(E_F) ... 9.39 states/eV/cell
E_form ... -0.0393 eV/atom

=====

TaBN2F | PBE | optimized geometry

a b c (Å): 3.634 3.634 3.057
angles (deg): 90.00 90.00 90.00
Fractional positions:
N: 0.500 0.000 0.000
Ta: 0.500 0.500 0.500
N: 0.000 0.500 0.000
B: 0.000 0.000 0.000
F: 0.000 0.000 0.500

Properties
D(E_F) ... 1.73 states/eV/cell
E_form (uncorrected) ... 0.1 eV per formula unit

=====

Cd2SiP | PBE | optimized geometry

a b c (Å): 3.702 2.941 8.066
angles (deg): 90.03 90.00 90.00
Fractional positions:
P: 0.000 0.748 0.697
Cd: 0.000 0.750 0.023
Cd: 0.500 0.250 0.247
Si: 0.500 0.751 0.533

Properties
D(E_F) ... 0.71 states/eV/cell
E_form (uncorrected) ... 0.7 eV per formula unit